Model a:
Material: Dy2Zn2Pd
Method: DFT, GGA-PBE
State: optimized geometry

Lattice parameters (Å, degrees): 7.026 7.026 8.554 90.00 90.00 90.00
Positions (direct):
Dy: 0.175 0.325 0.000
Dy: 0.175 0.325 0.500
Dy: 0.325 0.825 0.000
Dy: 0.325 0.825 0.500
Dy: 0.675 0.175 0.000
Dy: 0.675 0.175 0.500
Dy: 0.825 0.675 0.000
Dy: 0.825 0.675 0.500
Zn: 0.128 0.628 0.250
Zn: 0.128 0.628 0.750
Zn: 0.372 0.128 0.250
Zn: 0.372 0.128 0.750
Zn: 0.628 0.872 0.250
Zn: 0.628 0.872 0.750
Zn: 0.872 0.372 0.250
Zn: 0.872 0.372 0.750
Pd: 0.000 0.000 0.249
Pd: 0.000 0.000 0.751
Pd: 0.500 0.500 0.251
Pd: 0.500 0.500 0.749

V = 21.11 Å³ per atom


Model b:
Material: Dy2Zn2Pd
Method: DFT, GGA-PBE
State: optimized geometry

Lattice parameters (Å, degrees): 5.522 5.522 10.595 111.37 111.37 46.20
Positions (direct):
Dy: 0.012 0.012 0.335
Dy: 0.194 0.194 0.116
Dy: 0.806 0.806 0.884
Dy: 0.988 0.988 0.665
Zn: 0.355 0.355 0.444
Zn: 0.480 0.480 0.111
Zn: 0.520 0.520 0.889
Zn: 0.645 0.645 0.556
Pd: 0.280 0.280 0.669
Pd: 0.720 0.720 0.331

V = 21.41 Å³ per atom


Which of them is most stable, and which least? Most stable: model b; least stable: model a.


Model a:
Material: DyZrPd4
Method: DFT, GGA-PBE
State: optimized geometry

Lattice parameters (Å, degrees): 3.916 3.916 8.199 90.00 90.00 90.00
Positions (direct):
Dy: 0.000 0.000 0.000
Zr: 0.500 0.500 0.500
Pd: 0.000 0.500 0.264
Pd: 0.000 0.500 0.736
Pd: 0.500 0.000 0.264
Pd: 0.500 0.000 0.736

V = 20.96 Å³ per atom


Model b:
Material: DyZrPd4
Method: DFT, GGA-PBE
State: optimized geometry

Lattice parameters (Å, degrees): 6.812 4.090 16.356 90.00 90.00 90.00
Positions (direct):
Dy: 0.179 0.250 0.210
Dy: 0.321 0.750 0.710
Dy: 0.679 0.250 0.290
Dy: 0.821 0.750 0.790
Zr: 0.191 0.750 0.474
Zr: 0.309 0.250 0.974
Zr: 0.691 0.750 0.026
Zr: 0.809 0.250 0.526
Pd: 0.044 0.750 0.941
Pd: 0.061 0.250 0.376
Pd: 0.130 0.250 0.821
Pd: 0.224 0.250 0.591
Pd: 0.276 0.750 0.091
Pd: 0.370 0.750 0.321
Pd: 0.439 0.750 0.876
Pd: 0.456 0.250 0.441
Pd: 0.544 0.750 0.559
Pd: 0.561 0.250 0.124
Pd: 0.630 0.250 0.679
Pd: 0.724 0.250 0.909
Pd: 0.776 0.750 0.409
Pd: 0.870 0.750 0.179
Pd: 0.939 0.750 0.624
Pd: 0.956 0.250 0.059

V = 18.99 Å³ per atom


Which of them is most stable, and which least? Most stable: model b; least stable: model a.


Model a:
Material: Pm3Dy7
Method: DFT, GGA-PBE
State: optimized geometry

Lattice parameters (Å, degrees): 9.450 9.450 7.161 100.92 100.92 30.99
Positions (direct):
Pm: 0.000 0.000 0.000
Pm: 0.199 0.199 0.600
Pm: 0.801 0.801 0.400
Dy: 0.000 0.000 0.500
Dy: 0.200 0.200 0.100
Dy: 0.400 0.400 0.199
Dy: 0.400 0.400 0.700
Dy: 0.600 0.600 0.300
Dy: 0.600 0.600 0.801
Dy: 0.800 0.800 0.900

V = 32.28 Å³ per atom


Model b:
Material: Pm3Dy7
Method: DFT, GGA-PBE
State: optimized geometry

Lattice parameters (Å, degrees): 10.789 10.789 6.494 90.00 90.00 120.00
Positions (direct):
Pm: 0.204 0.408 0.000
Pm: 0.204 0.796 0.000
Pm: 0.408 0.204 0.500
Pm: 0.592 0.796 0.000
Pm: 0.796 0.204 0.500
Pm: 0.796 0.592 0.500
Dy: 0.059 0.529 0.655
Dy: 0.121 0.241 0.481
Dy: 0.121 0.879 0.481
Dy: 0.241 0.121 0.981
Dy: 0.333 0.667 0.348
Dy: 0.471 0.529 0.655
Dy: 0.471 0.941 0.655
Dy: 0.529 0.059 0.155
Dy: 0.529 0.471 0.155
Dy: 0.667 0.333 0.848
Dy: 0.759 0.879 0.481
Dy: 0.879 0.121 0.981
Dy: 0.879 0.759 0.981
Dy: 0.941 0.471 0.155

V = 32.73 Å³ per atom


Which of them is most stable, and which least? Most stable: model a; least stable: model b.


Model a:
Material: PmDy2
Method: DFT, GGA-PBE
State: optimized geometry

Lattice parameters (Å, degrees): 3.434 5.867 9.930 90.00 90.00 90.00
Positions (direct):
Pm: 0.000 0.000 0.000
Pm: 0.500 0.500 0.500
Dy: 0.000 0.500 0.187
Dy: 0.000 0.500 0.813
Dy: 0.500 0.000 0.313
Dy: 0.500 0.000 0.687

V = 33.34 Å³ per atom


Model b:
Material: PmDy2
Method: DFT, GGA-PBE
State: optimized geometry

Lattice parameters (Å, degrees): 3.577 3.577 15.183 90.00 90.00 90.00
Positions (direct):
Pm: 0.000 0.000 0.000
Pm: 0.500 0.500 0.500
Dy: 0.000 0.000 0.332
Dy: 0.000 0.000 0.668
Dy: 0.500 0.500 0.168
Dy: 0.500 0.500 0.832

V = 32.39 Å³ per atom


Model c:
Material: PmDy2
Method: DFT, GGA-PBE
State: optimized geometry

Lattice parameters (Å, degrees): 17.503 17.503 17.503 11.78 11.78 11.78
Positions (direct):
Pm: 0.084 0.084 0.084
Pm: 0.916 0.916 0.916
Dy: 0.194 0.194 0.194
Dy: 0.361 0.361 0.361
Dy: 0.639 0.639 0.639
Dy: 0.806 0.806 0.806

V = 32.37 Å³ per atom


Which of them is most stable, and which least? Most stable: model c; least stable: model a.


Model a:
Material: Pm7Dy5
Method: DFT, GGA-PBE
State: optimized geometry

Lattice parameters (Å, degrees): 9.562 9.562 13.256 117.59 117.59 21.84
Positions (direct):
Pm: 0.000 0.000 0.000
Pm: 0.139 0.139 0.751
Pm: 0.167 0.167 0.502
Pm: 0.472 0.472 0.750
Pm: 0.528 0.528 0.250
Pm: 0.833 0.833 0.498
Pm: 0.861 0.861 0.249
Dy: 0.194 0.194 0.248
Dy: 0.332 0.332 0.999
Dy: 0.500 0.500 0.500
Dy: 0.668 0.668 0.001
Dy: 0.806 0.806 0.752

V = 33.14 Å³ per atom


Model b:
Material: Pm7Dy5
Method: DFT, GGA-PBE
State: optimized geometry

Lattice parameters (Å, degrees): 5.646 5.646 14.781 101.79 101.79 61.97
Positions (direct):
Pm: 0.000 0.000 0.000
Pm: 0.181 0.181 0.583
Pm: 0.260 0.260 0.829
Pm: 0.461 0.461 0.287
Pm: 0.539 0.539 0.713
Pm: 0.740 0.740 0.171
Pm: 0.819 0.819 0.417
Dy: 0.125 0.125 0.300
Dy: 0.360 0.360 0.060
Dy: 0.500 0.500 0.500
Dy: 0.640 0.640 0.940
Dy: 0.875 0.875 0.700

V = 33.66 Å³ per atom


Which of them is most stable, and which least? Most stable: model a; least stable: model b.


Model a:
Material: Pm6Dy
Method: DFT, GGA-PBE
State: optimized geometry

Lattice parameters (Å, degrees): 8.116 8.116 8.116 90.00 90.00 90.00
Positions (direct):
Pm: 0.000 0.250 0.500
Pm: 0.000 0.500 0.250
Pm: 0.000 0.500 0.750
Pm: 0.000 0.750 0.500
Pm: 0.250 0.000 0.500
Pm: 0.250 0.500 0.000
Pm: 0.500 0.000 0.250
Pm: 0.500 0.000 0.750
Pm: 0.500 0.250 0.000
Pm: 0.500 0.750 0.000
Pm: 0.750 0.000 0.500
Pm: 0.750 0.500 0.000
Dy: 0.000 0.000 0.000
Dy: 0.500 0.500 0.500

V = 38.18 Å³ per atom


Model b:
Material: Pm6Dy
Method: DFT, GGA-PBE
State: optimized geometry

Lattice parameters (Å, degrees): 6.589 6.589 11.273 90.00 90.00 90.00
Positions (direct):
Pm: 0.082 0.582 0.139
Pm: 0.082 0.918 0.861
Pm: 0.250 0.250 0.363
Pm: 0.250 0.250 0.637
Pm: 0.418 0.582 0.861
Pm: 0.418 0.918 0.139
Pm: 0.582 0.082 0.861
Pm: 0.582 0.418 0.139
Pm: 0.750 0.750 0.363
Pm: 0.750 0.750 0.637
Pm: 0.918 0.082 0.139
Pm: 0.918 0.418 0.861
Dy: 0.250 0.750 0.500
Dy: 0.750 0.250 0.500

V = 34.96 Å³ per atom


Which of them is most stable, and which least? Most stable: model b; least stable: model a.


Model a:
Material: Pm5Dy2
Method: DFT, GGA-PBE
State: optimized geometry

Lattice parameters (Å, degrees): 11.875 3.541 11.705 90.00 104.46 90.00
Positions (direct):
Pm: 0.000 0.000 0.000
Pm: 0.035 0.500 0.287
Pm: 0.236 0.000 0.864
Pm: 0.264 0.500 0.136
Pm: 0.465 0.000 0.713
Pm: 0.500 0.500 0.000
Pm: 0.535 0.000 0.287
Pm: 0.736 0.500 0.864
Pm: 0.764 0.000 0.136
Pm: 0.965 0.500 0.713
Dy: 0.147 0.000 0.559
Dy: 0.353 0.500 0.441
Dy: 0.647 0.500 0.559
Dy: 0.853 0.000 0.441

V = 34.04 Å³ per atom


Model b:
Material: Pm5Dy2
Method: DFT, GGA-PBE
State: optimized geometry

Lattice parameters (Å, degrees): 8.620 8.620 9.364 94.57 94.57 43.21
Positions (direct):
Pm: 0.026 0.691 0.036
Pm: 0.120 0.451 0.679
Pm: 0.167 0.833 0.750
Pm: 0.309 0.974 0.464
Pm: 0.451 0.120 0.179
Pm: 0.549 0.880 0.821
Pm: 0.691 0.026 0.536
Pm: 0.833 0.167 0.250
Pm: 0.880 0.549 0.321
Pm: 0.974 0.309 0.964
Dy: 0.264 0.594 0.393
Dy: 0.406 0.736 0.107
Dy: 0.594 0.264 0.893
Dy: 0.736 0.406 0.607

V = 33.91 Å³ per atom


Which of them is most stable, and which least? Most stable: model b; least stable: model a.


Model a:
Material: Pm8Dy3
Method: DFT, GGA-PBE
State: optimized geometry

Lattice parameters (Å, degrees): 7.272 7.272 7.272 84.55 84.55 84.55
Positions (direct):
Pm: 0.114 0.114 0.114
Pm: 0.193 0.615 0.350
Pm: 0.350 0.193 0.615
Pm: 0.385 0.650 0.807
Pm: 0.615 0.350 0.193
Pm: 0.650 0.807 0.385
Pm: 0.807 0.385 0.650
Pm: 0.886 0.886 0.886
Dy: 0.000 0.000 0.500
Dy: 0.000 0.500 0.000
Dy: 0.500 0.000 0.000

V = 34.51 Å³ per atom


Model b:
Material: Pm8Dy3
Method: DFT, GGA-PBE
State: optimized geometry

Lattice parameters (Å, degrees): 6.419 6.960 9.939 98.59 98.70 117.46
Positions (direct):
Pm: 0.149 0.200 0.161
Pm: 0.185 0.696 0.641
Pm: 0.270 0.367 0.848
Pm: 0.326 0.798 0.304
Pm: 0.674 0.202 0.696
Pm: 0.730 0.633 0.152
Pm: 0.815 0.304 0.359
Pm: 0.851 0.800 0.839
Dy: 0.000 0.000 0.500
Dy: 0.500 0.000 0.000
Dy: 0.500 0.500 0.500

V = 34.29 Å³ per atom


Which of them is most stable, and which least? Most stable: model b; least stable: model a.


Model a:
Material: Pm13Dy2
Method: DFT, GGA-PBE
State: optimized geometry

Lattice parameters (Å, degrees): 6.749 9.113 9.114 66.35 82.25 82.21
Positions (direct):
Pm: 0.000 0.000 0.000
Pm: 0.102 0.435 0.766
Pm: 0.196 0.196 0.206
Pm: 0.298 0.629 0.972
Pm: 0.304 0.962 0.638
Pm: 0.397 0.398 0.404
Pm: 0.499 0.168 0.835
Pm: 0.501 0.832 0.165
Pm: 0.603 0.602 0.596
Pm: 0.696 0.038 0.362
Pm: 0.702 0.371 0.028
Pm: 0.804 0.804 0.794
Pm: 0.898 0.565 0.234
Dy: 0.099 0.768 0.431
Dy: 0.901 0.232 0.569

V = 33.78 Å³ per atom


Model b:
Material: Pm13Dy2
Method: DFT, GGA-PBE
State: optimized geometry

Lattice parameters (Å, degrees): 12.439 12.439 12.439 33.52 33.52 33.52
Positions (direct):
Pm: 0.000 0.000 0.000
Pm: 0.042 0.546 0.546
Pm: 0.208 0.711 0.711
Pm: 0.289 0.289 0.792
Pm: 0.289 0.792 0.289
Pm: 0.454 0.454 0.958
Pm: 0.454 0.958 0.454
Pm: 0.546 0.042 0.546
Pm: 0.546 0.546 0.042
Pm: 0.711 0.208 0.711
Pm: 0.711 0.711 0.208
Pm: 0.792 0.289 0.289
Pm: 0.958 0.454 0.454
Dy: 0.206 0.206 0.206
Dy: 0.794 0.794 0.794

V = 34.84 Å³ per atom


Which of them is most stable, and which least? Most stable: model a; least stable: model b.


Model a:
Material: Pm2Pr3Dy6
Method: DFT, GGA-PBE
State: optimized geometry

Lattice parameters (Å, degrees): 6.228 6.228 11.715 95.13 95.13 120.14
Positions (direct):
Pm: 0.166 0.834 0.000
Pm: 0.834 0.166 0.000
Pr: 0.000 0.000 0.500
Pr: 0.336 0.664 0.500
Pr: 0.664 0.336 0.500
Dy: 0.085 0.418 0.753
Dy: 0.250 0.250 0.248
Dy: 0.418 0.085 0.753
Dy: 0.582 0.915 0.247
Dy: 0.750 0.750 0.752
Dy: 0.915 0.582 0.247

V = 35.15 Å³ per atom


Model b:
Material: Pm2Pr3Dy6
Method: DFT, GGA-PBE
State: optimized geometry

Lattice parameters (Å, degrees): 16.993 16.993 16.993 163.75 163.75 23.06
Positions (direct):
Pm: 0.046 0.046 0.000
Pm: 0.954 0.954 0.000
Pr: 0.296 0.296 0.000
Pr: 0.500 0.500 0.000
Pr: 0.704 0.704 0.000
Dy: 0.120 0.620 0.500
Dy: 0.192 0.192 0.000
Dy: 0.380 0.880 0.500
Dy: 0.620 0.120 0.500
Dy: 0.808 0.808 0.000
Dy: 0.880 0.380 0.500

V = 34.93 Å³ per atom


Which of them is most stable, and which least? Most stable: model a; least stable: model b.